Entry A
Below is an optimized crystal structure of La3Pr3Nd, with properties calculated at the GGA-PBE level.

The structure belongs to space group R-3 (No. 148, hexagonal axes); the cell edges are 9.0777, 9.0777 and 21.7730 Å and the angles 90.00°, 90.00° and 120.00°. The distinct sites, in fractional coordinates, are La at (0.0055, 0.7565, 0.0555), Pr at (0.0556, 0.7815, 0.2151) and Nd at (0.0000, 0.0000, 0.3584).

For the total magnetization, the calculation gives 0.00 μB/f.u.



Entry B
Below is an optimized crystal structure of La3Pr3Nd, with properties calculated at the GGA-PBE level.

The structure belongs to space group P6_3/m (No. 176); the cell edges are 9.9512, 9.9512 and 6.0322 Å and the angles 90.00°, 90.00° and 120.00°. The distinct sites, in fractional coordinates, are La at (0.0473, 0.2396, 0.2500), Pr at (0.0952, 0.4779, 0.7500) and Nd at (0.3333, 0.6667, 0.2500).

For the total magnetization, the calculation gives 0.00 μB/f.u.



We find entry B to be the most stable, with the next structure 0.164 eV/atom higher.